This record from the Alexandria database describes ZrHgSe2N after structural relaxation. The functional is GGA-PBEsol.

Cell and atoms, written as CIF:
```
data_ZrHgSe2N
_space_group_name_H-M_alt 'P 1'
_space_group_IT_number 1
_space_group_name_Hall 'P 1'
_cell_length_a 5.2799
_cell_length_b 5.2799
_cell_length_c 4.0369
_cell_angle_alpha 90.00
_cell_angle_beta 90.00
_cell_angle_gamma 90.00
loop_
_atom_site_label
_atom_site_type_symbol
_atom_site_fract_x
_atom_site_fract_y
_atom_site_fract_z
Zr1 Zr 0.0000 0.0000 0.0000
Hg1 Hg 0.5000 0.5000 0.5000
Se1 Se 0.0000 0.5000 0.0000
Se2 Se 0.5000 0.0000 0.0000
N1 N 0.0000 0.0000 0.5000
```

Computed properties:
**V**: 113 Å³/cell
**Uncorrected formation energy**: -0.41 eV per formula unit

***

This record from the Alexandria database describes FeNi after structural relaxation. The functional is GGA-PBEsol.

Cell and atoms, written as CIF:
```
data_FeNi
_space_group_name_H-M_alt 'P 1'
_space_group_IT_number 1
_space_group_name_Hall 'P 1'
_cell_length_a 3.9404
_cell_length_b 3.9404
_cell_length_c 3.9404
_cell_angle_alpha 60.00
_cell_angle_beta 60.00
_cell_angle_gamma 60.00
loop_
_atom_site_label
_atom_site_type_symbol
_atom_site_fract_x
_atom_site_fract_y
_atom_site_fract_z
Fe1 Fe 0.1250 0.1250 0.1250
Fe2 Fe 0.8750 0.8750 0.8750
Ni1 Ni 0.3750 0.3750 0.3750
Ni2 Ni 0.6250 0.6250 0.6250
```

Computed properties:
**V**: 43 Å³/cell
**Energy relative to the elements**: 0.102 eV per formula unit

***

This record from the Alexandria database describes ZnHgOs2 after structural relaxation. The functional is GGA-PBEsol.

Cell and atoms, written as CIF:
```
data_ZnHgOs2
_space_group_name_H-M_alt 'P 1'
_space_group_IT_number 1
_space_group_name_Hall 'P 1'
_cell_length_a 2.8184
_cell_length_b 4.6499
_cell_length_c 4.6782
_cell_angle_alpha 90.00
_cell_angle_beta 90.00
_cell_angle_gamma 90.00
loop_
_atom_site_label
_atom_site_type_symbol
_atom_site_fract_x
_atom_site_fract_y
_atom_site_fract_z
Zn1 Zn 0.0000 0.0000 0.0000
Hg1 Hg 0.5000 0.5000 0.0000
Os1 Os 0.0000 0.5000 0.5000
Os2 Os 0.5000 0.0000 0.5000
```

Computed properties:
**V**: 61 Å³/cell
**Energy relative to the elements**: 2.642 eV per formula unit

***

This record from the Alexandria database describes CaIn2Sb after structural relaxation. The functional is GGA-PBEsol.

Cell and atoms, written as CIF:
```
data_CaIn2Sb
_space_group_name_H-M_alt 'P 1'
_space_group_IT_number 1
_space_group_name_Hall 'P 1'
_cell_length_a 3.9437
_cell_length_b 3.9437
_cell_length_c 6.8351
_cell_angle_alpha 90.00
_cell_angle_beta 90.00
_cell_angle_gamma 90.00
loop_
_atom_site_label
_atom_site_type_symbol
_atom_site_fract_x
_atom_site_fract_y
_atom_site_fract_z
Ca1 Ca 0.0000 0.0000 0.0000
In1 In 0.5000 0.5000 0.2780
In2 In 0.5000 0.5000 0.7220
Sb1 Sb 0.0000 0.0000 0.5000
```

Computed properties:
**V**: 106 Å³/cell
**Uncorrected formation energy**: -1.19 eV per formula unit